Computed, not measured: an optimized crystal structure of Pr3DyMg6 at the GGA-PBE level of DFT.

Lattice parameters (Å, degrees): 9.4899 5.3478 11.4416 90.00 105.20 90.00
Closest atoms and distances in Å follow each position.
Fractional positions:
Pr: 0.0370 0.2500 0.3948  8 Mg 3.29-3.53
Pr: 0.1504 0.7500 0.2117  8 Mg 3.37-3.42, 2 Pr 3.73
Pr: 0.2563 0.2500 0.0058  8 Mg 3.29-3.43
Pr: 0.7437 0.7500 0.9942  8 Mg 3.29-3.43
Pr: 0.8496 0.2500 0.7883  8 Mg 3.37-3.42, 2 Pr 3.73
Pr: 0.9630 0.7500 0.6052  8 Mg 3.29-3.53
Dy: 0.4513 0.2500 0.6006  8 Mg 3.21-3.30
Dy: 0.5487 0.7500 0.3994  8 Mg 3.21-3.30
Mg: 0.0608 0.7500 0.9038  1 Mg 3.24, 7 Pr 3.29-3.43
Mg: 0.1710 0.2500 0.7076  1 Dy 3.21, 2 Mg 3.24, 5 Pr 3.29-3.47
Mg: 0.2660 0.7500 0.5169  3 Dy 3.21-3.30, 2 Mg 3.23-3.55, 4 Pr 3.29-3.50
Mg: 0.3551 0.7500 0.8098  8 Mg 3.23-3.26
Mg: 0.3661 0.2500 0.3056  3 Dy 3.21-3.26, 2 Mg 3.25-3.55, 4 Pr 3.31-3.53
Mg: 0.4552 0.7500 0.1049  3 Mg 3.23-3.26, 1 Dy 3.25, 4 Pr 3.30-3.42
Mg: 0.5448 0.2500 0.8951  3 Mg 3.23-3.26, 1 Dy 3.25, 4 Pr 3.30-3.42
Mg: 0.6339 0.7500 0.6944  3 Dy 3.21-3.26, 2 Mg 3.25-3.55, 4 Pr 3.31-3.53
Mg: 0.6449 0.2500 0.1902  8 Mg 3.23-3.26
Mg: 0.7340 0.2500 0.4831  3 Dy 3.21-3.30, 2 Mg 3.23-3.55, 4 Pr 3.29-3.50
Mg: 0.8290 0.7500 0.2924  1 Dy 3.21, 2 Mg 3.24, 5 Pr 3.29-3.47
Mg: 0.9392 0.2500 0.0962  1 Mg 3.24, 7 Pr 3.29-3.43

Output
The mass density comes out at 4.33 g cm⁻³. Its magnetic moment is 0.00 μB per formula unit. The value obtained for the formation energy is -0.08 eV per atom. The value obtained for the uncorrected energy is -2.93 eV per atom.